No. 1
{"formula": "Th2CdPd3", "functional": "GGA-PBE", "state": "optimized geometry", "cell": [[3.916, 0.000, 0.000], [0.000, 7.560, 0.000], [0.000, 0.000, 17.994]], "species": ["Pd", "Pd", "Pd", "Pd", "Th", "Th", "Th", "Th", "Th", "Pd", "Cd", "Th", "Pd", "Pd", "Cd", "Pd", "Pd", "Pd", "Pd", "Cd", "Pd", "Th", "Cd", "Th"], "fractional_positions": [[0.750, 0.412, 0.660], [0.250, 0.588, 0.340], [0.250, 0.277, 0.551], [0.250, 0.777, 0.949], [0.750, 0.853, 0.073], [0.250, 0.647, 0.573], [0.250, 0.607, 0.788], [0.750, 0.893, 0.288], [0.250, 0.107, 0.712], [0.250, 0.088, 0.160], [0.250, 0.482, 0.063], [0.250, 0.147, 0.927], [0.750, 0.797, 0.688], [0.750, 0.223, 0.051], [0.750, 0.018, 0.563], [0.750, 0.297, 0.812], [0.750, 0.912, 0.840], [0.250, 0.703, 0.188], [0.250, 0.203, 0.312], [0.250, 0.982, 0.437], [0.750, 0.723, 0.449], [0.750, 0.353, 0.427], [0.750, 0.518, 0.937], [0.750, 0.393, 0.212]], "total_energy_ev_per_atom": -5.952, "sg": "Pnma, No. 62", "ef_mev_per_atom": -730}

---

No. 2
{"formula": "NbBiBr3", "functional": "GGA-PBE", "state": "optimized geometry", "cell": [[-2.045, 1.066, 4.883], [-4.781, -1.955, -1.575], [1.457, -4.919, 1.684]], "species": ["Br", "Nb", "Bi", "Br", "Br"], "fractional_positions": [[0.500, 0.000, 0.000], [0.000, 0.000, 0.000], [0.500, 0.500, 0.500], [0.000, 0.000, 0.500], [0.000, 0.500, 0.000]], "total_energy_ev_per_atom": -3.746, "sg": "Pm-3m, No. 221"}

---

No. 3
{"formula": "CsLiO2", "functional": "GGA-PBE", "state": "optimized geometry", "cell": [[-4.993, -3.778, 1.621], [-3.900, -2.328, 4.605], [-5.966, -0.525, 2.442]], "species": ["O", "Cs", "Li", "O"], "fractional_positions": [[0.889, 0.889, 0.889], [0.000, 0.000, 0.000], [0.500, 0.500, 0.500], [0.111, 0.111, 0.111]], "total_energy_ev_per_atom": -3.650, "sg": "R-3m, No. 166"}

---

No. 4
{"formula": "Th3Co4Si2", "functional": "GGA-PBE", "state": "optimized geometry", "cell": [[4.001, 0.000, 0.000], [-2.001, 4.996, -2.106], [0.000, 0.174, 8.214]], "species": ["Si", "Th", "Co", "Co", "Co", "Th", "Si", "Th", "Co"], "fractional_positions": [[0.350, 0.700, 0.695], [0.368, 0.735, 0.309], [0.718, 0.436, 0.062], [0.845, 0.690, 0.559], [0.155, 0.310, 0.441], [0.000, 0.000, 0.000], [0.650, 0.300, 0.305], [0.632, 0.265, 0.691], [0.282, 0.564, 0.938]], "total_energy_ev_per_atom": -7.384, "sg": "C2/m, No. 12"}

---

No. 5
{"formula": "Pb4I3F4", "functional": "GGA-PBE", "state": "optimized geometry", "cell": [[-1.929, -2.817, -1.888], [0.270, -5.477, 7.895], [-6.126, 7.288, -0.586]], "species": ["I", "Pb", "I", "F", "F", "Pb", "F", "I", "Pb", "Pb", "F"], "fractional_positions": [[0.126, 0.126, 0.252], [0.804, 0.304, 0.608], [0.874, 0.874, 0.748], [0.650, 0.803, 0.300], [0.350, 0.197, 0.700], [0.196, 0.696, 0.392], [0.350, 0.503, 0.700], [0.000, 0.500, 0.000], [0.500, 0.775, 0.000], [0.500, 0.225, 0.000], [0.650, 0.497, 0.300]], "total_energy_ev_per_atom": -3.824, "sg": "Immm, No. 71"}

---

No. 6
{"formula": "LuPu2Tc", "functional": "GGA-PBE", "state": "optimized geometry", "cell": [[3.301, 0.000, 0.000], [1.651, 2.859, 0.000], [1.651, 0.953, 10.020]], "species": ["Tc", "Lu", "Pu", "Pu"], "fractional_positions": [[0.000, 0.000, 0.000], [0.500, 0.500, 0.500], [0.737, 0.737, 0.788], [0.263, 0.263, 0.212]], "total_energy_ev_per_atom": -10.642, "sg": "R-3m, No. 166", "ef_mev_per_atom": 246}

---

No. 7
{"formula": "Sm2HoGe", "functional": "GGA-PBE", "state": "optimized geometry", "cell": [[3.754, 0.000, 0.000], [1.877, 3.251, 0.000], [1.877, 1.084, 10.018]], "species": ["Sm", "Sm", "Ho", "Ge"], "fractional_positions": [[0.734, 0.734, 0.799], [0.266, 0.266, 0.201], [0.500, 0.500, 0.500], [0.000, 0.000, 0.000]], "total_energy_ev_per_atom": -4.842, "sg": "R-3m, No. 166", "ef_mev_per_atom": -184}

---

No. 8
{"formula": "Zr2CoAs", "functional": "GGA-PBE", "state": "optimized geometry", "cell": [[-1.550, 0.813, -4.521], [-3.548, -3.271, -0.466], [0.538, 3.260, 3.548]], "species": ["As", "Zr", "Zr", "Co"], "fractional_positions": [[0.250, 0.750, 0.500], [0.000, 0.000, 0.000], [0.500, 0.500, 0.000], [0.750, 0.250, 0.500]], "total_energy_ev_per_atom": -7.651, "sg": "I4/mmm, No. 139", "ef_mev_per_atom": -438}